LiPm3Sm2S6 after structural relaxation. Source: Alexandria via LeMat-Bulk, functional PBE.

```
12
Lattice="6.918 -0.011 -0.005 -3.467 5.987 -0.005 -1.156 -2.002 6.535" Properties=species:S:1:pos:R:3 pbc="T T T"
Sm 3.447 1.994 -0.005
Pm 1.147 1.987 3.263
Pm 4.616 -0.016 3.263
S 3.424 2.034 4.940
S -0.041 -0.070 4.962
S -1.129 1.940 1.585
S 2.336 4.044 1.563
Sm 0.004 3.982 -0.005
S 2.244 -0.008 1.585
S 0.051 3.982 4.940
Pm -2.321 3.990 3.263
Li 0.000 0.000 0.000
```

**Volume**: 22.52 A^3/atom

***

Li3PmSm2S6 after structural relaxation. Source: Alexandria via LeMat-Bulk, functional PBE.

```
12
Lattice="6.953 -0.002 0.002 -3.476 6.022 0.002 -1.159 -2.007 6.200" Properties=species:S:1:pos:R:3 pbc="T T T"
S -1.164 2.015 1.580
S -0.009 4.015 4.623
Li -2.306 4.008 3.102
S 3.482 1.999 4.623
S 2.327 -0.001 1.580
Sm 0.001 4.013 0.002
Sm 3.476 2.007 0.002
Li 1.159 2.007 3.102
Li 4.623 0.006 3.102
S 2.313 4.005 1.584
S 0.005 0.008 4.620
Pm 0.000 0.000 0.000
```

**Volume**: 21.63 A^3/atom

***

Li2PmSmS4 after structural relaxation. Source: Alexandria via LeMat-Bulk, functional PBE.

```
8
Lattice="-3.850 -0.997 -0.580 1.622 -6.720 0.789 -1.579 2.700 5.833" Properties=species:S:1:pos:R:3 pbc="T T T"
S -1.918 -1.508 1.398
Sm -1.114 -3.859 0.104
Li -2.714 0.851 2.626
S -0.771 0.333 4.544
Pm 0.000 0.000 0.000
S 0.815 -4.353 2.078
Li 0.022 -2.010 3.311
S -1.888 -3.510 4.644
```

**Volume**: 21.68 A^3/atom

***

LiPm2Sm3S6 after structural relaxation. Source: Alexandria via LeMat-Bulk, functional PBE.

```
12
Lattice="-5.709 -3.546 -1.637 2.854 -0.706 6.262 -2.719 6.327 0.673" Properties=species:S:1:pos:R:3 pbc="T T T"
S -5.595 1.092 2.726
S -2.752 0.063 0.014
Sm 0.071 1.986 5.285
S -2.742 3.761 1.621
Li 0.000 0.000 0.000
S -2.822 2.012 5.283
Sm -2.787 1.038 2.649
Pm -2.847 -2.596 1.003
S -2.832 -1.686 3.677
Pm -0.008 -1.655 3.621
S 0.020 0.983 2.572
Sm -5.646 0.090 0.012
```

**Volume**: 22.47 A^3/atom

***

Formation energy without anion corrections? In order: -1968, -1803, -1801, -1967 meV per atom.
N(E_F)? In order: 4.85, 0.00, 0.00, 4.96 states/eV per cell.